# PBE Tm4GaIr3, optimized geometry
data_Tm4GaIr3
_cell_length_a 4.754
_cell_length_b 4.754
_cell_length_c 7.080
_cell_angle_alpha 90.00
_cell_angle_beta 90.00
_cell_angle_gamma 90.00
_symmetry_space_group_name_H-M 'P 4/m m m'
_symmetry_Int_Tables_number 123
_symmetry_space_group_name_Hall '-P 4 2'
loop_
_atom_site_label
_atom_site_type_symbol
_atom_site_fract_x
_atom_site_fract_y
_atom_site_fract_z
Tm1 Tm 0.000 0.500 0.242
Ga1 Ga 0.000 0.000 0.500
Ir1 Ir 0.000 0.000 0.000
Ir2 Ir 0.500 0.500 0.000
Ir3 Ir 0.500 0.500 0.500
# Formation energy: -0.821 eV/atom
# Total energy: -6.7582 eV per atom